Material: SiHgN2O
Method: DFT, PBE-GGA
State: relaxed

```
5
Lattice="3.8267 0.0000 0.0000 0.0000 3.8267 0.0000 0.0000 0.0000 3.5479" Properties=species:S:1:pos:R:3 pbc="T T T"
Si 0.0000 0.0000 0.0000
Hg 1.9134 1.9134 1.7740
N 0.0000 1.9134 0.0000
N 1.9134 0.0000 0.0000
O 0.0000 0.0000 1.7740
```

Output
Crystal system: tetragonal
Uncorrected formation energy in eV/atom: 0.296
Space group: P4/mmm, No. 123